Entry 1:
Computed, not measured: crystalline Li2Ac3Zn7 at its relaxed geometry at the PBE level of DFT.

Computed properties:
- DOS at the Fermi energy (states/eV per atom) = 0.4753
- theoretical density (kg/m3) = 7339
- calculated total energy (eV per formula unit) = -27.60
- DFT formation energy (eV per atom) = -0.211

a b c (Å): 5.8418 5.8418 9.4481
angles (deg): 71.99 71.99 60.00
Last column: nearest neighbours and their distance in Å.
Sites, in units of the cell vectors:
1 Li 0.6715 0.6715 0.9856  6 Zn 2.66-2.75
2 Li 0.3285 0.3285 0.0144  6 Zn 2.66-2.75
3 Ac 0.0000 0.0000 0.0000  6 Li 3.38, 12 Zn 3.61
4 Ac 0.8559 0.8559 0.4323  12 Zn 3.38-3.43, 3 Ac 3.58
5 Ac 0.1441 0.1441 0.5677  12 Zn 3.38-3.43, 3 Ac 3.58
6 Zn 0.5000 0.5000 0.5000  6 Zn 2.80
7 Zn 0.9024 0.4291 0.2394  2 Li 2.66-2.75, 3 Zn 2.77-2.80
8 Zn 0.4291 0.9024 0.2394  2 Li 2.66-2.75, 3 Zn 2.77-2.80
9 Zn 0.4291 0.4291 0.2394  2 Li 2.66-2.75, 3 Zn 2.77-2.80
10 Zn 0.0976 0.5709 0.7606  2 Li 2.66-2.75, 3 Zn 2.77-2.80
11 Zn 0.5709 0.5709 0.7606  2 Li 2.66-2.75, 3 Zn 2.77-2.80
12 Zn 0.5709 0.0976 0.7606  2 Li 2.66-2.75, 3 Zn 2.77-2.80


Entry 2:
Computed, not measured: crystalline LiAc2Zn5 at its relaxed geometry at the PBE level of DFT.

Computed properties:
- DOS at the Fermi energy (states/eV per atom) = 0.8460
- theoretical density (kg/m3) = 7076
- calculated total energy (eV per formula unit) = -18.19
- DFT formation energy (eV per atom) = -0.212

a b c (Å): 4.5849 8.8439 9.4432
angles (deg): 90.00 90.00 105.02
Last column: nearest neighbours and their distance in Å.
Sites, in units of the cell vectors:
1 Li 0.4409 0.8819 0.7500  3 Zn 2.65-2.73
2 Li 0.5591 0.1181 0.2500  3 Zn 2.65-2.73
3 Ac 0.7951 0.5902 0.7500  13 Zn 3.26-3.50, 2 Li 3.39
4 Ac 0.2049 0.4098 0.2500  13 Zn 3.26-3.50, 2 Li 3.39
5 Ac 0.0000 0.0000 0.0000  10 Zn 3.30-3.68, 4 Li 3.44
6 Ac 0.0000 0.0000 0.5000  10 Zn 3.30-3.68, 4 Li 3.44
7 Zn 0.1835 0.3670 0.8908  3 Zn 2.63-2.66
8 Zn 0.8165 0.6330 0.1092  3 Zn 2.63-2.66
9 Zn 0.1835 0.3670 0.6092  3 Zn 2.63-2.66
10 Zn 0.8165 0.6330 0.3908  3 Zn 2.63-2.66
11 Zn 0.3484 0.6968 0.9858  3 Zn 2.63-2.67, 1 Li 2.73
12 Zn 0.6516 0.3032 0.0142  3 Zn 2.63-2.67, 1 Li 2.73
13 Zn 0.3484 0.6968 0.5142  3 Zn 2.63-2.67, 1 Li 2.73
14 Zn 0.6516 0.3032 0.4858  3 Zn 2.63-2.67, 1 Li 2.73
15 Zn 0.5962 0.1923 0.7500  1 Li 2.65, 2 Zn 2.67
16 Zn 0.4038 0.8077 0.2500  1 Li 2.65, 2 Zn 2.67


Entry 3:
Computed, not measured: crystalline Li2AcZn4 at its relaxed geometry at the PBE level of DFT.

Computed properties:
- DOS at the Fermi energy (states/eV per atom) = 0.3953
- theoretical density (kg/m3) = 6102
- calculated total energy (eV per formula unit) = -14.75
- DFT formation energy (eV per atom) = -0.246

a b c (Å): 5.3477 5.7204 5.7204
angles (deg): 77.38 62.13 62.13
Last column: nearest neighbours and their distance in Å.
Sites, in units of the cell vectors:
1 Li 0.7500 0.5000 0.5000  2 Li 2.67, 8 Zn 2.93
2 Li 0.2500 0.5000 0.5000  2 Li 2.67, 8 Zn 2.93
3 Ac 0.0000 0.0000 0.0000  12 Zn 3.17-3.27
4 Zn 0.6862 0.0000 0.6276  4 Zn 2.66-2.97, 4 Li 2.93
5 Zn 0.3138 0.0000 0.3724  4 Zn 2.66-2.97, 4 Li 2.93
6 Zn 0.6862 0.6276 0.0000  4 Zn 2.66-2.97, 4 Li 2.93
7 Zn 0.3138 0.3724 0.0000  4 Zn 2.66-2.97, 4 Li 2.93


Entry 4:
Computed, not measured: crystalline Li4AcZn at its relaxed geometry at the PBE level of DFT.

Computed properties:
- DOS at the Fermi energy (states/eV per atom) = 0.7191
- theoretical density (kg/m3) = 4090
- calculated total energy (eV per formula unit) = -12.98
- DFT formation energy (eV per atom) = 0.009

a b c (Å): 5.6862 5.6862 5.6862
angles (deg): 60.00 60.00 60.00
Last column: nearest neighbours and their distance in Å.
Sites, in units of the cell vectors:
1 Ac 0.2500 0.2500 0.2500  12 Li 3.34, 4 Zn 3.48
2 Zn 0.0000 0.0000 0.0000  12 Li 3.33, 4 Ac 3.48
3 Li 0.6278 0.6278 0.1167  6 Li 2.78-2.91
4 Li 0.6278 0.1167 0.6278  6 Li 2.78-2.91
5 Li 0.6278 0.6278 0.6278  6 Li 2.78-2.91
6 Li 0.1167 0.6278 0.6278  6 Li 2.78-2.91